(1)
Entry from Alexandria: Tl9InBi2 after structural relaxation (PBE-GGA).

abc: 5.016 5.016 14.843
angles: 90.00 90.00 90.00
Fractional positions:
Tl 0.500 0.500 0.000
Tl 0.000 0.500 0.500
Tl 0.500 0.500 0.336
Tl 0.500 0.000 0.833
Bi 0.000 0.000 0.671
In 0.000 0.000 0.000
Tl 0.000 0.500 0.167
Tl 0.500 0.000 0.500
Tl 0.500 0.000 0.167
Tl 0.500 0.500 0.664
Tl 0.000 0.500 0.833
Bi 0.000 0.000 0.329

Output
E_form in eV per atom: -0.007
Volume in Å³ per cell: 373.5
Total moment in Bohr magnetons per cell: 0.00
Final energy in eV per atom: -2.66


(2)
Entry from Alexandria: TlIn2Bi after structural relaxation (PBE-GGA).

abc: 7.180 7.180 7.180
angles: 56.01 131.72 153.31
Fractional positions:
Tl 0.000 0.000 0.000
In 0.000 0.745 0.745
Bi 0.000 0.500 0.500
In 0.000 0.255 0.255

Output
E_form in eV per atom: 0.064
Volume in Å³ per cell: 123.3
Total moment in Bohr magnetons per cell: 0.00
Final energy in eV per atom: -2.87


(3)
Entry from Alexandria: Tl3In10Bi3 after structural relaxation (PBE-GGA).

abc: 6.259 9.463 9.463
angles: 120.00 90.00 90.00
Fractional positions:
In 0.000 0.209 0.000
In 0.747 0.667 0.333
Bi 0.000 0.413 0.413
In 0.000 0.791 0.791
Tl 0.500 0.403 0.000
In 0.747 0.333 0.667
In 0.253 0.667 0.333
In 0.500 0.793 0.000
Tl 0.500 0.597 0.597
Bi 0.000 0.587 0.000
In 0.253 0.333 0.667
In 0.000 0.000 0.209
Tl 0.500 0.000 0.403
In 0.500 0.000 0.793
Bi 0.000 0.000 0.587
In 0.500 0.207 0.207

Output
E_form in eV per atom: 0.068
Volume in Å³ per cell: 485.4
Total moment in Bohr magnetons per cell: 0.00
Final energy in eV per atom: -2.82


(4)
Entry from Alexandria: Tl2InBi2 after structural relaxation (PBE-GGA).

abc: 9.667 9.667 3.513
angles: 90.00 90.00 90.00
Fractional positions:
Tl 0.631 0.869 0.500
Bi 0.669 0.169 0.000
In 0.000 0.000 0.000
In 0.500 0.500 0.000
Tl 0.369 0.131 0.500
Bi 0.831 0.669 0.000
Tl 0.131 0.631 0.500
Bi 0.331 0.831 0.000
Bi 0.169 0.331 0.000
Tl 0.869 0.369 0.500

Output
E_form in eV per atom: 0.091
Volume in Å³ per cell: 328.3
Total moment in Bohr magnetons per cell: 0.00
Final energy in eV per atom: -2.96


(5)
Entry from Alexandria: Tl2In2Bi after structural relaxation (PBE-GGA).

abc: 5.288 6.560 9.696
angles: 98.67 90.00 113.77
Fractional positions:
Tl 0.951 0.901 0.652
Tl 0.844 0.688 0.963
In 0.640 0.280 0.567
Tl 0.156 0.312 0.037
In 0.360 0.720 0.433
Bi 0.259 0.518 0.722
In 0.529 0.057 0.849
Tl 0.049 0.099 0.348
In 0.471 0.943 0.151
Bi 0.741 0.482 0.278

Output
E_form in eV per atom: 0.003
Volume in Å³ per cell: 303.6
Total moment in Bohr magnetons per cell: 0.00
Final energy in eV per atom: -2.81


(6)
Entry from Alexandria: TlZnInBi after structural relaxation (PBE-GGA).

abc: 5.371 5.371 5.371
angles: 60.00 60.00 60.00
Fractional positions:
In 0.500 0.500 0.500
Tl 0.250 0.250 0.250
Zn 0.000 0.000 0.000
Bi 0.750 0.750 0.750

Output
E_form in eV per atom: 0.087
Volume in Å³ per cell: 109.6
Total moment in Bohr magnetons per cell: 0.00
Final energy in eV per atom: -2.48


(7)
Entry from Alexandria: TlZn2InBi after structural relaxation (PBE-GGA).

abc: 5.499 6.234 5.499
angles: 90.00 90.00 90.00
Fractional positions:
Zn 0.500 0.000 0.000
In 0.500 0.500 0.500
Tl 0.000 0.500 0.000
Zn 0.000 0.000 0.500
Bi 0.000 0.000 0.000

Output
E_form in eV per atom: 0.526
Volume in Å³ per cell: 188.5
Total moment in Bohr magnetons per cell: 0.00
Final energy in eV per atom: -1.78


(8)
Entry from Alexandria: Tl2ZnInBi2 after structural relaxation (PBE-GGA).

abc: 6.885 6.851 9.363
angles: 111.46 111.57 90.00
Fractional positions:
Tl 0.603 0.825 0.651
In 0.000 0.250 0.000
In 0.000 0.750 0.000
Tl 0.397 0.175 0.349
Tl 0.048 0.325 0.651
Zn 0.500 0.250 0.000
Bi 0.829 0.114 0.228
Bi 0.171 0.886 0.772
Bi 0.399 0.614 0.228
Bi 0.601 0.386 0.772
Tl 0.952 0.675 0.349
Zn 0.500 0.750 0.000

Output
E_form in eV per atom: 0.029
Volume in Å³ per cell: 377.6
Total moment in Bohr magnetons per cell: 0.00
Final energy in eV per atom: -2.72


(9)
Entry from Alexandria: Tm5In2Bi2 after structural relaxation (PBE-GGA).

abc: 8.165 7.539 10.453
angles: 111.14 112.99 90.00
Fractional positions:
Tm 0.220 0.645 0.867
Tm 0.027 0.763 0.500
In 0.500 0.421 0.000
Bi 0.852 0.395 0.799
In 0.304 0.478 0.500
Tm 0.147 0.145 0.867
In 0.000 0.921 0.000
Tm 0.728 0.723 0.685
Bi 0.447 0.895 0.799
Tm 0.458 0.223 0.685
Bi 0.553 0.095 0.201
Tm 0.973 0.263 0.500
Tm 0.272 0.038 0.315
Tm 0.542 0.538 0.315
In 0.696 0.978 0.500
Tm 0.853 0.278 0.133
Tm 0.780 0.778 0.133
Bi 0.148 0.595 0.201

Output
E_form in eV per atom: -0.272
Volume in Å³ per cell: 545.0
Total moment in Bohr magnetons per cell: 0.00
Final energy in eV per atom: -4.23


(10)
Entry from Alexandria: Tm2InBi after structural relaxation (PBE-GGA).

abc: 3.975 3.975 6.890
angles: 90.00 90.00 90.00
Fractional positions:
In 0.500 0.500 0.500
Bi 0.500 0.500 0.000
Tm 0.000 0.000 0.750
Tm 0.000 0.000 0.250

Output
E_form in eV per atom: -0.461
Volume in Å³ per cell: 108.9
Total moment in Bohr magnetons per cell: 0.00
Final energy in eV per atom: -4.35


(11)
Entry from Alexandria: TmInBi2 after structural relaxation (PBE-GGA).

abc: 4.165 4.165 6.721
angles: 90.00 90.00 90.00
Fractional positions:
Bi 0.000 0.000 0.763
Tm 0.500 0.500 0.000
Bi 0.000 0.000 0.237
In 0.500 0.500 0.500

Output
E_form in eV per atom: -0.335
Volume in Å³ per cell: 116.6
Total moment in Bohr magnetons per cell: 0.00
Final energy in eV per atom: -4.08


(12)
Entry from Alexandria: Tm6In5Bi after structural relaxation (PBE-GGA).

abc: 4.934 8.915 8.915
angles: 112.44 106.07 106.07
Fractional positions:
Tm 0.749 0.582 0.916
Tm 0.251 0.418 0.084
Tm 0.754 0.255 0.255
In 0.000 0.668 0.332
In 0.500 0.173 0.827
In 0.500 0.827 0.173
Tm 0.251 0.084 0.418
In 0.000 0.332 0.668
Bi 0.000 0.000 0.000
Tm 0.246 0.745 0.745
In 0.500 0.500 0.500
Tm 0.749 0.916 0.582

Output
E_form in eV per atom: -0.426
Volume in Å³ per cell: 314.3
Total moment in Bohr magnetons per cell: 0.00
Final energy in eV per atom: -4.13


Q: Which formula does entry 3 have?
A: Tl3In10Bi3